Entry 1:
# AlIn2Br4

A geometry-optimized AlIn2Br4 structure (PBE-GGA, the Alexandria database).

Cell lengths 5.348, 5.348, 9.370 Å; angles 106.58, 106.58, 90.00 degrees
Element x y z (fractional)
Br  0.172  0.172  0.835
Br  0.664  0.664  0.835
Br  0.828  0.336  0.165
Br  0.336  0.828  0.165
Al  0.500  0.500  0.000
In  0.250  0.750  0.500
In  0.750  0.250  0.500

Values from the calculation:
Formation energy without anion corrections in eV per atom: -0.68
Magnetization in μB per atom: 0.00
Volume in Å³/cell: 245.2
Space group: I-42m, No. 121

=====

Entry 2:
# AlIn2Br2

A geometry-optimized AlIn2Br2 structure (PBE-GGA, the Alexandria database).

Cell lengths 7.831, 7.831, 4.972 Å; angles 90.00, 90.00, 90.00 degrees
Element x y z (fractional)
In  0.824  0.676  0.000
In  0.324  0.824  0.000
In  0.676  0.176  0.000
In  0.176  0.324  0.000
Br  0.832  0.332  0.500
Br  0.332  0.168  0.500
Br  0.168  0.668  0.500
Br  0.668  0.832  0.500
Al  0.000  0.000  0.000
Al  0.500  0.500  0.000

Values from the calculation:
Formation energy without anion corrections in eV per atom: -0.21
Excess energy over the best structure of this formula in the dataset in eV per atom: 0.000
Magnetization in μB per atom: 0.00
Volume in Å³/cell: 304.9
Space group: P4/mbm, No. 127

=====

Entry 3:
# AlInBr4

A geometry-optimized AlInBr4 structure (PBE-GGA, the Alexandria database).

Cell lengths 9.057, 10.230, 10.155 Å; angles 90.00, 90.00, 101.63 degrees
Element x y z (fractional)
Al  0.111  0.798  0.168
Al  0.611  0.298  0.332
Al  0.389  0.702  0.668
Al  0.889  0.202  0.832
Br  0.283  0.888  0.708
Br  0.316  0.966  0.109
Br  0.684  0.034  0.891
Br  0.929  0.753  0.005
Br  0.429  0.253  0.495
Br  0.717  0.112  0.292
Br  0.571  0.747  0.505
Br  0.816  0.466  0.391
Br  0.001  0.869  0.356
Br  0.184  0.534  0.609
Br  0.217  0.612  0.208
Br  0.501  0.369  0.144
Br  0.499  0.631  0.856
Br  0.783  0.388  0.792
Br  0.999  0.131  0.644
Br  0.071  0.247  0.995
In  0.440  0.219  0.842
In  0.940  0.719  0.658
In  0.560  0.781  0.158
In  0.060  0.281  0.342

Values from the calculation:
Formation energy without anion corrections in eV per atom: -1.00
Excess energy over the best structure of this formula in the dataset in eV per atom: 0.012
Magnetization in μB per atom: 0.00
Volume in Å³/cell: 921.5
Space group: P2_1/c, No. 14

=====

Entry 4:
# AlIn2Br

A geometry-optimized AlIn2Br structure (PBE-GGA, the Alexandria database).

Cell lengths 3.335, 3.335, 9.385 Å; angles 90.00, 90.00, 90.00 degrees
Element x y z (fractional)
In  0.000  0.000  0.012
In  0.500  0.500  0.284
Br  0.500  0.500  0.693
Al  0.000  0.000  0.511

Values from the calculation:
Formation energy without anion corrections in eV per atom: -0.01
Excess energy over the best structure of this formula in the dataset in eV per atom: 0.079
Magnetization in μB per atom: 0.00
Volume in Å³/cell: 104.4
Space group: P4mm, No. 99

=====

Entry 5:
# AlIn2Br

A geometry-optimized AlIn2Br structure (PBE-GGA, the Alexandria database).

Cell lengths 5.391, 3.494, 6.111 Å; angles 67.09, 90.00, 90.00 degrees
Element x y z (fractional)
In  0.000  0.147  0.015
In  0.000  0.353  0.485
Br  0.500  0.750  0.750
Al  0.500  0.250  0.250

Values from the calculation:
Formation energy without anion corrections in eV per atom: 0.00
Excess energy over the best structure of this formula in the dataset in eV per atom: 0.093
Magnetization in μB per atom: 0.00
Volume in Å³/cell: 106.0
Space group: P2/m, No. 10

=====

Entry 6:
# AlInBr

A geometry-optimized AlInBr structure (PBE-GGA, the Alexandria database).

Cell lengths 5.191, 5.191, 5.191 Å; angles 60.00, 60.00, 60.00 degrees
Element x y z (fractional)
Br  0.500  0.500  0.500
In  0.750  0.750  0.750
Al  0.000  0.000  0.000

Values from the calculation:
Formation energy without anion corrections in eV per atom: 0.23
Excess energy over the best structure of this formula in the dataset in eV per atom: 0.380
Magnetization in μB per atom: 0.00
Volume in Å³/cell: 98.9
Space group: F-43m, No. 216

=====

Entry 7:
# AlIn2Br

A geometry-optimized AlIn2Br structure (PBE-GGA, the Alexandria database).

Cell lengths 3.537, 5.099, 5.980 Å; angles 90.00, 90.00, 90.00 degrees
Element x y z (fractional)
In  0.000  0.000  0.875
In  0.500  0.500  0.375
Br  0.500  0.500  0.875
Al  0.000  0.000  0.375

Values from the calculation:
Formation energy without anion corrections in eV per atom: -0.09
Excess energy over the best structure of this formula in the dataset in eV per atom: 0.000
Magnetization in μB per atom: 0.00
Volume in Å³/cell: 107.9
Space group: Pmmm, No. 47

=====

Entry 8:
# AlIn2Br

A geometry-optimized AlIn2Br structure (PBE-GGA, the Alexandria database).

Cell lengths 6.327, 6.327, 6.327 Å; angles 148.64, 126.83, 63.04 degrees
Element x y z (fractional)
Br  0.287  0.787  0.500
In  0.724  0.224  0.500
In  0.994  0.994  0.000
Al  0.494  0.494  0.000

Values from the calculation:
Formation energy without anion corrections in eV per atom: -0.03
Excess energy over the best structure of this formula in the dataset in eV per atom: 0.064
Magnetization in μB per atom: 0.00
Volume in Å³/cell: 104.5
Space group: Imm2, No. 44

=====

Entry 9:
# AlIn2Br

A geometry-optimized AlIn2Br structure (PBE-GGA, the Alexandria database).

Cell lengths 6.455, 6.455, 8.330 Å; angles 67.21, 67.21, 90.00 degrees
Element x y z (fractional)
Br  0.750  0.250  0.500
Br  0.000  0.000  0.000
In  0.375  0.430  0.750
In  0.180  0.625  0.250
In  0.875  0.820  0.750
In  0.570  0.125  0.250
Al  0.500  0.500  0.000
Al  0.250  0.750  0.500

Values from the calculation:
Formation energy without anion corrections in eV per atom: -0.01
Excess energy over the best structure of this formula in the dataset in eV per atom: 0.086
Magnetization in μB per atom: 0.00
Volume in Å³/cell: 290.4
Space group: I-42d, No. 122

=====

Entry 10:
# AlIn2Br

A geometry-optimized AlIn2Br structure (PBE-GGA, the Alexandria database).

Cell lengths 5.292, 5.292, 5.292 Å; angles 60.00, 60.00, 60.00 degrees
Element x y z (fractional)
In  0.000  0.000  0.000
In  0.250  0.250  0.250
Br  0.750  0.750  0.750
Al  0.500  0.500  0.500

Values from the calculation:
Formation energy without anion corrections in eV per atom: 0.12
Excess energy over the best structure of this formula in the dataset in eV per atom: 0.208
Magnetization in μB per atom: 0.00
Volume in Å³/cell: 104.8
Space group: F-43m, No. 216

=====

Entry 11:
# AlIn2Br

A geometry-optimized AlIn2Br structure (PBE-GGA, the Alexandria database).

Cell lengths 3.454, 3.454, 10.129 Å; angles 90.00, 90.00, 118.26 degrees
Element x y z (fractional)
In  0.000  0.000  0.013
In  0.500  0.500  0.279
Br  0.500  0.500  0.698
Al  0.000  0.000  0.510

Values from the calculation:
Formation energy without anion corrections in eV per atom: -0.05
Excess energy over the best structure of this formula in the dataset in eV per atom: 0.043
Magnetization in μB per atom: 0.00
Volume in Å³/cell: 106.4
Space group: Cmm2, No. 35

=====

Entry 12:
# AlIn2Br

A geometry-optimized AlIn2Br structure (PBE-GGA, the Alexandria database).

Cell lengths 3.560, 3.560, 8.141 Å; angles 90.00, 90.00, 90.00 degrees
Element x y z (fractional)
In  0.000  0.000  0.474
In  0.000  0.000  0.026
Al  0.500  0.500  0.250
Br  0.500  0.500  0.750

Values from the calculation:
Formation energy without anion corrections in eV per atom: -0.02
Excess energy over the best structure of this formula in the dataset in eV per atom: 0.069
Magnetization in μB per atom: 0.00
Volume in Å³/cell: 103.2
Space group: P4/mmm, No. 123